Al4InCo5 | PBE-GGA | relaxed

a b c (Å): 2.8677 2.8677 15.0033
angles (deg): 90.00 90.00 90.00
Closest atoms and distances in Å follow each position.
Space group P4/mmm (No. 123)
Symmetry-distinct sites (fractional):
Al 0.0000 0.0000 0.0951  8 Co 2.47-2.48
Al 0.0000 0.0000 0.2862  8 Co 2.45-2.50
In 0.0000 0.0000 0.5000  8 Co 2.73, 4 In 2.87
Co 0.5000 0.5000 0.0000  8 Al 2.48
Co 0.5000 0.5000 0.1891  8 Al 2.47-2.50
Co 0.5000 0.5000 0.3780  4 Al 2.45, 4 In 2.73

Volume ... 123.4 Å³ per cell
Uncorrected energy ... -5.765 eV/atom
DOS at the Fermi energy ... 4.865 states/eV per cell
Calculated formation energy ... -0.44 eV/atom

***

AlInCo | PBE-GGA | relaxed

a b c (Å): 4.1881 4.1881 3.1663
angles (deg): 90.00 90.00 120.00
Closest atoms and distances in Å follow each position.
Space group P-6m2 (No. 187)
Symmetry-distinct sites (fractional):
Al 0.0000 0.0000 0.0000  3 Co 2.42
In 0.3333 0.6667 0.5000  6 Al 2.89, 6 Co 2.89, 2 In 3.17
Co 0.6667 0.3333 0.0000  3 Al 2.42

Volume ... 48.1 Å³ per cell
Uncorrected energy ... -4.455 eV/atom
DOS at the Fermi energy ... 1.337 states/eV per cell
Calculated formation energy ... 0.07 eV/atom

***

AlIn2Co | PBE-GGA | relaxed

a b c (Å): 3.1482 3.1482 26.5258
angles (deg): 90.00 90.00 120.00
Closest atoms and distances in Å follow each position.
Space group R3m (No. 160, hexagonal axes)
Symmetry-distinct sites (fractional):
Al 0.0000 0.0000 0.0000  3 Co 2.41
In 0.0000 0.0000 0.5333  3 Co 2.67
In 0.0000 0.0000 0.7621  3 Al 3.12, 9 In 3.15-3.32
Co 0.0000 0.0000 0.2735  3 Al 2.41, 3 In 2.67

Volume ... 227.7 Å³ per cell
Uncorrected energy ... -3.971 eV/atom
DOS at the Fermi energy ... 7.254 states/eV per cell
Calculated formation energy ... 0.11 eV/atom

***

AlIn2Co | PBE-GGA | relaxed

a b c (Å): 8.5413 2.9331 6.8356
angles (deg): 90.00 108.85 90.00
Closest atoms and distances in Å follow each position.
Space group Cm (No. 8)
Symmetry-distinct sites (fractional):
Al 0.0000 0.0000 0.0000  3 Co 2.37-2.40
In 0.1554 0.5000 0.6627  2 Co 2.66, 2 In 2.93
In 0.3242 0.5000 0.3386  2 Co 2.65, 2 In 2.93
Co 0.2780 0.0000 0.0019  3 Al 2.37-2.40, 2 In 2.65

Volume ... 162.1 Å³ per cell
Uncorrected energy ... -4.055 eV/atom
DOS at the Fermi energy ... 5.117 states/eV per cell
Calculated formation energy ... 0.03 eV/atom

***

AlIn2Co | PBE-GGA | relaxed

a b c (Å): 2.8499 4.4184 12.2256
angles (deg): 90.00 90.00 90.00
Closest atoms and distances in Å follow each position.
Space group Imm2 (No. 44)
Symmetry-distinct sites (fractional):
Al 0.0000 0.0000 0.0000  2 Co 2.46
In 0.0000 0.0000 0.6365  2 Co 2.83, 2 In 2.85, 4 Al 3.11
In 0.0000 0.5000 0.8282  4 Co 2.63, 2 In 2.85
Co 0.0000 0.5000 0.3360  2 Al 2.46, 4 In 2.63

Volume ... 153.9 Å³ per cell
Uncorrected energy ... -4.054 eV/atom
DOS at the Fermi energy ... 3.420 states/eV per cell
Calculated formation energy ... 0.03 eV/atom

***

Al2InCo2 | PBE-GGA | relaxed

a b c (Å): 7.1078 7.1078 2.7761
angles (deg): 90.00 90.00 90.00
Closest atoms and distances in Å follow each position.
Space group P4/mbm (No. 127)
Symmetry-distinct sites (fractional):
Al 0.1300 0.3700 0.0000  6 Co 2.50-2.51, 3 Al 2.61-2.78, 2 In 2.79
In 0.0000 0.0000 0.0000  2 In 2.78, 4 Al 2.79, 8 Co 3.00
Co 0.1627 0.6627 0.5000  6 Al 2.50-2.51, 2 Co 2.78

Distance to the lowest polymorph of the same formula ... 53 meV per atom
Volume ... 140.3 Å³ per cell
Uncorrected energy ... -5.066 eV/atom
DOS at the Fermi energy ... 3.436 states/eV per cell
Calculated formation energy ... -0.18 eV/atom

***

Al2InCo | PBE-GGA | relaxed

a b c (Å): 3.0075 3.0075 25.5549
angles (deg): 90.00 90.00 120.00
Closest atoms and distances in Å follow each position.
Space group R3m (No. 160, hexagonal axes)
Symmetry-distinct sites (fractional):
Al 0.0000 0.0000 0.0000  9 Al 2.85-3.01, 3 In 3.05
Al 0.0000 0.0000 0.2447  3 Co 2.43
In 0.0000 0.0000 0.7646  3 Co 2.69, 6 In 3.01
Co 0.0000 0.0000 0.5115  3 Al 2.43, 3 In 2.69

Volume ... 200.2 Å³ per cell
Uncorrected energy ... -4.254 eV/atom
DOS at the Fermi energy ... 9.478 states/eV per cell
Calculated formation energy ... 0.08 eV/atom

***

AlInCo2 | PBE-GGA | relaxed

a b c (Å): 4.2199 4.2199 3.0362
angles (deg): 90.00 90.00 90.00
Closest atoms and distances in Å follow each position.
Space group P4/mmm (No. 123)
Symmetry-distinct sites (fractional):
Al 0.0000 0.0000 0.0000  8 Co 2.60
In 0.5000 0.5000 0.0000  8 Co 2.60
Co 0.0000 0.5000 0.5000  4 In 2.60, 4 Al 2.60

Volume ... 54.1 Å³ per cell
Uncorrected energy ... -5.306 eV/atom
DOS at the Fermi energy ... 2.165 states/eV per cell
Calculated formation energy ... -0.13 eV/atom

***

AlInCo2 | PBE-GGA | relaxed

a b c (Å): 2.9204 2.9204 6.3008
angles (deg): 90.00 90.00 90.00
Closest atoms and distances in Å follow each position.
Space group P4/mmm (No. 123)
Symmetry-distinct sites (fractional):
Al 0.0000 0.0000 0.0000  8 Co 2.49
In 0.0000 0.0000 0.5000  8 Co 2.71, 4 In 2.92
Co 0.5000 0.5000 0.2203  4 Al 2.49, 4 In 2.71, 1 Co 2.78

Volume ... 53.7 Å³ per cell
Uncorrected energy ... -5.366 eV/atom
DOS at the Fermi energy ... 2.244 states/eV per cell
Calculated formation energy ... -0.19 eV/atom

***

Al2InCo | PBE-GGA | relaxed

a b c (Å): 3.9777 3.9777 7.9440
angles (deg): 90.00 90.00 90.00
Closest atoms and distances in Å follow each position.
Space group I-4m2 (No. 119)
Symmetry-distinct sites (fractional):
Al 0.0000 0.0000 0.0000  4 Co 2.81, 4 Al 2.81, 4 In 2.81
Al 0.0000 0.5000 0.2500  4 In 2.81, 4 Al 2.81, 4 Co 2.81
In 0.0000 0.0000 0.5000  4 Co 2.81, 8 Al 2.81
Co 0.0000 0.5000 0.7500  4 In 2.81, 8 Al 2.81

Volume ... 125.7 Å³ per cell
Uncorrected energy ... -4.253 eV/atom
DOS at the Fermi energy ... 4.444 states/eV per cell
Calculated formation energy ... 0.08 eV/atom

***

Al2InCo | PBE-GGA | relaxed

a b c (Å): 3.0006 3.0006 25.6444
angles (deg): 90.00 90.00 120.00
Closest atoms and distances in Å follow each position.
Space group R-3m (No. 166, hexagonal axes)
Symmetry-distinct sites (fractional):
Al 0.0000 0.0000 0.2334  3 Co 2.44
In 0.0000 0.0000 0.0000  6 In 3.00, 6 Al 3.09
Co 0.0000 0.0000 0.5000  6 Al 2.44

Volume ... 200.0 Å³ per cell
Uncorrected energy ... -4.362 eV/atom
DOS at the Fermi energy ... 5.599 states/eV per cell
Calculated formation energy ... -0.03 eV/atom

***

Al2InCo | PBE-GGA | relaxed

a b c (Å): 3.9589 3.9589 8.0112
angles (deg): 90.00 90.00 90.00
Closest atoms and distances in Å follow each position.
Space group I4/mmm (No. 139)
Symmetry-distinct sites (fractional):
Al 0.0000 0.5000 0.2500  4 Al 2.80, 4 In 2.82, 4 Co 2.82
In 0.0000 0.0000 0.0000  4 Co 2.80, 8 Al 2.82
Co 0.0000 0.0000 0.5000  4 In 2.80, 8 Al 2.82

Volume ... 125.6 Å³ per cell
Uncorrected energy ... -4.255 eV/atom
DOS at the Fermi energy ... 4.333 states/eV per cell
Calculated formation energy ... 0.08 eV/atom

***

Al2InCo | PBE-GGA | relaxed

a b c (Å): 3.9586 3.9586 3.9897
angles (deg): 90.00 90.00 90.00
Closest atoms and distances in Å follow each position.
Space group P4/mmm (No. 123)
Symmetry-distinct sites (fractional):
Al 0.0000 0.5000 0.0000  4 Al 2.80, 4 In 2.81, 4 Co 2.81
In 0.0000 0.0000 0.5000  4 Co 2.80, 8 Al 2.81
Co 0.5000 0.5000 0.5000  4 In 2.80, 8 Al 2.81

Volume ... 62.5 Å³ per cell
Uncorrected energy ... -4.231 eV/atom
DOS at the Fermi energy ... 2.429 states/eV per cell
Calculated formation energy ... 0.10 eV/atom

***

Al2InCo2 | PBE-GGA | relaxed

a b c (Å): 3.6706 3.6706 11.1563
angles (deg): 90.00 90.00 90.00
Closest atoms and distances in Å follow each position.
Space group I4/mmm (No. 139)
Symmetry-distinct sites (fractional):
Al 0.0000 0.5000 0.2500  4 Co 2.45, 4 Al 2.60
In 0.0000 0.0000 0.0000  8 Co 2.85
Co 0.0000 0.0000 0.3950  1 Co 2.34, 4 Al 2.45

Distance to the lowest polymorph of the same formula ... 124 meV per atom
Volume ... 150.3 Å³ per cell
Uncorrected energy ... -4.995 eV/atom
DOS at the Fermi energy ... 3.639 states/eV per cell
Calculated formation energy ... -0.11 eV/atom

***

AlIn2Co | PBE-GGA | relaxed

a b c (Å): 4.1733 4.1733 8.2526
angles (deg): 90.00 90.00 90.00
Closest atoms and distances in Å follow each position.
Space group I4/mmm (No. 139)
Symmetry-distinct sites (fractional):
Al 0.0000 0.0000 0.0000  8 In 2.93, 4 Co 2.95
In 0.0000 0.5000 0.2500  4 Co 2.93, 4 Al 2.93, 4 In 2.95
Co 0.0000 0.0000 0.5000  8 In 2.93, 4 Al 2.95

Volume ... 143.7 Å³ per cell
Uncorrected energy ... -3.821 eV/atom
DOS at the Fermi energy ... 4.248 states/eV per cell
Calculated formation energy ... 0.26 eV/atom